[1]
{
  "formula": "CdCu2Rh",
  "functional": "PBE",
  "state": "relaxed",
  "volume_a3_per_atom": 14.59,
  "magnetic_moment_mub_per_fu": 0.0,
  "dos_at_fermi_per_ev_atom": 0.65,
  "formation_energy_kj_per_mol_fu": 7,
  "crystal_system": "tetragonal",
  "cell": [[-1.2781, -0.5178, -2.7093], [2.7568, -0.3557, -1.2326], [-0.2223, -6.1773, 1.2855]],
  "species": ["Rh", "Cu", "Cu", "Cd"],
  "fractional_positions": [[0.0000, 0.0000, 0.4685], [0.0000, 0.0000, 0.0370], [0.5000, 0.5000, 0.2388], [0.5000, 0.5000, 0.7557]]
}

***

[2]
{
  "formula": "Cd3CuRh",
  "functional": "PBE",
  "state": "relaxed",
  "volume_a3_per_atom": 27.03,
  "magnetic_moment_mub_per_fu": 0.0,
  "dos_at_fermi_per_ev_atom": 0.49,
  "formation_energy_kj_per_mol_fu": 275,
  "e_above_lowest_polymorph_ev_per_atom": 0.0000,
  "crystal_system": "cubic",
  "cell": [[5.1317, 0.0000, 0.0000], [0.0000, 5.1317, 0.0000], [0.0000, 0.0000, 5.1317]],
  "species": ["Rh", "Cu", "Cd", "Cd", "Cd"],
  "fractional_positions": [[0.0000, 0.0000, 0.0000], [0.5000, 0.5000, 0.5000], [0.0000, 0.5000, 0.0000], [0.0000, 0.0000, 0.5000], [0.5000, 0.0000, 0.0000]]
}

***

[3]
{
  "formula": "CdCuRh2",
  "functional": "PBE",
  "state": "relaxed",
  "volume_a3_per_atom": 15.11,
  "magnetic_moment_mub_per_fu": 0.0,
  "dos_at_fermi_per_ev_atom": 1.43,
  "formation_energy_kj_per_mol_fu": 35,
  "crystal_system": "trigonal",
  "cell": [[2.8181, 0.0000, 0.0000], [1.4090, 2.4405, 0.0000], [1.4090, 0.8135, 8.7893]],
  "species": ["Cd", "Cu", "Rh", "Rh"],
  "fractional_positions": [[0.4999, 0.4999, 0.5004], [0.6668, 0.6668, 0.9996], [0.0775, 0.0775, 0.7675], [0.2558, 0.2558, 0.2325]]
}